Run 1
ZrCdIN2: relaxed, PBE.

Cell and atoms, written as POSCAR:
```
ZrCdIN2
1.0
4.262 0.000 0.000
0.000 4.262 0.000
0.000 0.000 5.523
N Cd I Zr
2 1 1 1
Cartesian
2.131 0.000 0.000 N
0.000 2.131 0.000 N
0.000 0.000 0.000 Cd
0.000 0.000 2.762 I
2.131 2.131 2.762 Zr
```

## Properties
N(E_F)   0.896 states/eV/atom

Run 2
ZrCdIN2: relaxed, PBE.

Cell and atoms, written as POSCAR:
```
ZrCdIN2
1.0
4.241 0.000 0.000
0.000 4.241 0.000
0.000 0.000 6.156
Zr Cd N I
1 1 2 1
Cartesian
0.000 0.000 0.000 Zr
2.121 2.121 3.078 Cd
2.121 0.000 0.000 N
0.000 2.121 0.000 N
0.000 0.000 3.078 I
```

## Properties
N(E_F)   0.507 states/eV/atom

Of them, run 2 has the highest stability.

Run 1
ZrCdI2N: relaxed, PBE.

Cell and atoms, written as POSCAR:
```
ZrCdI2N
1.0
5.847 0.000 0.000
0.000 5.847 0.000
0.000 0.000 3.979
Cd I N Zr
1 2 1 1
Cartesian
0.000 0.000 0.000 Cd
0.000 2.924 0.000 I
2.924 0.000 0.000 I
0.000 0.000 1.989 N
2.924 2.924 1.989 Zr
```

## Properties
N(E_F)   1.259 states/eV/atom

Run 2
ZrCdI2N: relaxed, PBE.

Cell and atoms, written as POSCAR:
```
ZrCdI2N
1.0
6.037 0.000 0.000
0.000 6.037 0.000
0.000 0.000 4.043
Cd I Zr N
1 2 1 1
Cartesian
3.018 3.018 2.021 Cd
3.018 0.000 0.000 I
0.000 3.018 0.000 I
0.000 0.000 0.000 Zr
0.000 0.000 2.021 N
```

## Properties
N(E_F)   0.885 states/eV/atom

Of them, run 2 has the highest stability.